Below is crystalline K2NiAuF6 at its relaxed geometry, with properties calculated at the PBE with a Hubbard U level.

Cell and atoms, written as POSCAR:
```
K2NiAuF6
1.0
0.0000 4.2751 4.2751
4.2751 0.0000 4.2751
4.2751 4.2751 0.0000
K Ni Au F
2 1 1 6
direct
0.2500 0.2500 0.2500 K
0.7500 0.7500 0.7500 K
0.0000 0.0000 0.0000 Ni
0.5000 0.5000 0.5000 Au
0.2337 0.2337 0.7663 F
0.2337 0.7663 0.2337 F
0.2337 0.7663 0.7663 F
0.7663 0.2337 0.2337 F
0.7663 0.2337 0.7663 F
0.7663 0.7663 0.2337 F
```

Results
**Electronic total energy**: -3.94 eV/atom
**Symmetry**: Fm-3m
**Total magnetization**: 1.0 μB/f.u.